1.
Here is a relaxed Pm8Ge5Pb crystal from Alexandria. Energies are from PBE-GGA.

- M_tot: 0.000 Bohr magnetons per cell
- Crystal system: tetragonal
- ΔE_f: -0.777 eV per atom

abc: 7.971 7.971 7.971
angles: 109.38 109.65 109.38
Fractional positions:
Ge 0.874 0.876 0.250
Ge 0.374 0.124 0.998
Ge 0.002 0.376 0.126
Ge 0.750 0.624 0.626
Ge 0.500 0.000 0.500
Pb 0.250 0.500 0.750
Pm 0.629 0.377 0.876
Pm 0.748 0.248 0.371
Pm 0.256 0.242 0.362
Pm 0.124 0.752 0.501
Pm 0.499 0.623 0.252
Pm 0.986 0.107 0.744
Pm 0.120 0.758 0.014
Pm 0.638 0.893 0.880

2.
Here is a relaxed Pm6Ge2Pb3 crystal from Alexandria. Energies are from PBE-GGA.

- M_tot: 0.000 Bohr magnetons per cell
- Crystal system: tetragonal
- ΔE_f: -0.331 eV per atom

abc: 5.530 5.530 13.015
angles: 102.27 102.27 90.00
Fractional positions:
Pb 0.835 0.835 0.670
Pb 0.000 0.000 0.000
Pb 0.165 0.165 0.330
Pm 0.080 0.580 0.161
Pm 0.420 0.920 0.839
Pm 0.580 0.080 0.161
Pm 0.920 0.420 0.839
Pm 0.293 0.293 0.585
Pm 0.707 0.707 0.415
Ge 0.405 0.405 0.810
Ge 0.595 0.595 0.190

3.
Here is a relaxed Pm2Ge2Pb crystal from Alexandria. Energies are from PBE-GGA.

- M_tot: 0.000 Bohr magnetons per cell
- Crystal system: tetragonal
- ΔE_f: -0.711 eV per atom

abc: 4.254 7.756 7.756
angles: 90.00 90.00 90.00
Fractional positions:
Pb 0.000 0.500 0.500
Pb 0.000 0.000 0.000
Ge 0.000 0.884 0.616
Ge 0.000 0.616 0.116
Ge 0.000 0.384 0.884
Ge 0.000 0.116 0.384
Pm 0.500 0.679 0.821
Pm 0.500 0.321 0.179
Pm 0.500 0.821 0.321
Pm 0.500 0.179 0.679

4.
Here is a relaxed Pm8Ge2Pb3 crystal from Alexandria. Energies are from PBE-GGA.

- M_tot: 0.000 Bohr magnetons per cell
- Crystal system: orthorhombic
- ΔE_f: -0.437 eV per atom

abc: 5.126 10.422 9.259
angles: 124.25 90.01 90.00
Fractional positions:
Ge 0.500 0.261 0.522
Ge 0.500 0.739 0.478
Pm 0.500 0.383 0.270
Pm 0.000 0.630 0.259
Pm 0.000 0.138 0.277
Pm 0.000 0.370 0.741
Pm 0.000 0.862 0.723
Pm 0.500 0.887 0.270
Pm 0.500 0.113 0.730
Pm 0.500 0.617 0.730
Pb 0.500 0.000 0.000
Pb 0.000 0.260 0.000
Pb 0.000 0.740 0.000

5.
Here is a relaxed Pm3GePb crystal from Alexandria. Energies are from PBE-GGA.

- M_tot: 0.000 Bohr magnetons per cell
- Distance to the lowest polymorph of the same formula: 0.222 eV/atom
- Crystal system: cubic
- ΔE_f: -0.376 eV per atom

abc: 5.556 5.556 5.556
angles: 90.00 90.00 90.00
Fractional positions:
Pb 0.500 0.500 0.500
Pm 0.000 0.500 0.000
Pm 0.500 0.000 0.000
Pm 0.000 0.000 0.500
Ge 0.000 0.000 0.000

6.
Here is a relaxed Pm5Ge2Pb2 crystal from Alexandria. Energies are from PBE-GGA.

- M_tot: 0.000 Bohr magnetons per cell
- Distance to the lowest polymorph of the same formula: 0.000 eV/atom
- Crystal system: orthorhombic
- ΔE_f: -0.697 eV per atom

abc: 8.149 8.169 8.908
angles: 117.29 90.00 90.00
Fractional positions:
Pm 0.330 0.700 0.745
Pm 0.830 0.545 0.745
Pm 0.170 0.455 0.255
Pm 0.830 0.800 0.255
Pm 0.670 0.045 0.745
Pm 0.000 0.000 0.000
Pm 0.330 0.955 0.255
Pm 0.500 0.500 0.000
Pm 0.670 0.300 0.255
Pm 0.170 0.200 0.745
Pb 0.500 0.712 0.424
Pb 0.500 0.288 0.576
Pb 0.000 0.788 0.576
Pb 0.000 0.212 0.424
Ge 0.868 0.370 0.000
Ge 0.368 0.130 0.000
Ge 0.632 0.870 0.000
Ge 0.132 0.630 0.000

The lowest ΔE_f belongs to which entry?
Pm8Ge5Pb